A plane-wave DFT calculation with PBE was carried out for an optimized crystal structure of Tb2DyZn5.

Calculated values
Total DFT energy (no corrections): -2.8409 eV per atom
Formation energy: -0.312 eV/atom
Size of the total moment: 0.0 μB/f.u.

abc: 4.822 4.822 14.160
angles: 90.00 90.00 90.00
Space group I4/mmm (No. 139)
Symmetry-distinct sites (fractional):
Tb1 0.000 0.000 0.233 (multiplicity 4)
Dy1 0.000 0.000 0.500 (multiplicity 2)
Zn1 0.000 0.000 0.000 (multiplicity 2)
Zn2 0.000 0.500 0.114 (multiplicity 8)



A plane-wave DFT calculation with PBE was carried out for an optimized crystal structure of Ho3GaPb.

Calculated values
Total DFT energy (no corrections): -4.1703 eV per atom
Formation energy: -0.077 eV/atom
Size of the total moment: 0.0 μB/f.u.

abc: 12.806 7.391 7.986
angles: 90.00 122.39 90.00
Space group Cm (No. 8)
Symmetry-distinct sites (fractional):
Ho1 0.000 0.000 0.000 (multiplicity 2)
Ho2 0.056 0.260 0.452 (multiplicity 4)
Ho3 0.227 0.228 0.999 (multiplicity 4)
Ho4 0.297 0.500 0.452 (multiplicity 2)
Ga1 0.236 0.500 0.752 (multiplicity 2)
Ga2 0.386 0.500 0.202 (multiplicity 2)
Pb1 0.008 0.500 0.067 (multiplicity 2)
Pb2 0.283 0.000 0.393 (multiplicity 2)



A plane-wave DFT calculation with PBE was carried out for an optimized crystal structure of Mg2ZnIr.

Calculated values
Total DFT energy (no corrections): -3.3922 eV per atom
Formation energy: -0.061 eV/atom
Size of the total moment: 0.2 μB/f.u.

abc: 2.9441 2.9441 27.3181
angles: 90.00 90.00 120.00
Space group R-3m (No. 166, hexagonal axes)
Symmetry-distinct sites (fractional):
Mg1 0.0000 0.0000 0.2433 (multiplicity 6)
Zn1 0.0000 0.0000 0.0000 (multiplicity 3)
Ir1 0.0000 0.0000 0.5000 (multiplicity 3)



A plane-wave DFT calculation with PBE was carried out for an optimized crystal structure of CaCoW.

Calculated values
Total DFT energy (no corrections): -6.9140 eV per atom
Formation energy: 0.440 eV/atom
Excess energy over the best structure of this formula in the dataset: 0.000 eV/atom
Size of the total moment: 0.0 μB/f.u.

abc: 3.121 3.121 11.632
angles: 90.00 90.00 90.00
Space group I4mm (No. 107)
Symmetry-distinct sites (fractional):
Ca1 0.000 0.000 0.000 (multiplicity 2)
Co1 0.000 0.000 0.300 (multiplicity 2)
W1 0.000 0.000 0.713 (multiplicity 2)



A plane-wave DFT calculation with PBE was carried out for an optimized crystal structure of KMo2Pb2.

Calculated values
Total DFT energy (no corrections): -5.4992 eV per atom
Formation energy: 0.536 eV/atom
Excess energy over the best structure of this formula in the dataset: 0.000 eV/atom
Size of the total moment: 0.0 μB/f.u.

abc: 8.959 8.959 3.103
angles: 90.00 90.00 90.00
Space group P4/mbm (No. 127)
Symmetry-distinct sites (fractional):
K1 0.000 0.000 0.000 (multiplicity 2)
Mo1 0.090 0.410 0.000 (multiplicity 4)
Pb1 0.185 0.685 0.500 (multiplicity 4)



A plane-wave DFT calculation with PBE was carried out for an optimized crystal structure of KTl3Hg3.

Calculated values
Total DFT energy (no corrections): -1.2399 eV per atom
Formation energy: 0.060 eV/atom
Excess energy over the best structure of this formula in the dataset: 0.147 eV/atom
Size of the total moment: 0.0 μB/f.u.

abc: 8.481 8.481 8.481
angles: 90.00 90.00 90.00
Space group Pm-3n (No. 223)
Symmetry-distinct sites (fractional):
K1 0.000 0.000 0.000 (multiplicity 2)
Tl1 0.000 0.250 0.500 (multiplicity 6)
Hg1 0.000 0.500 0.250 (multiplicity 6)



A plane-wave DFT calculation with PBE was carried out for an optimized crystal structure of HgIr2W.

Calculated values
Total DFT energy (no corrections): -7.7627 eV per atom
Formation energy: -0.018 eV/atom
Size of the total moment: 0.0 μB/f.u.

abc: 2.869 2.869 7.978
angles: 90.00 90.00 90.00
Space group P4/mmm (No. 123)
Symmetry-distinct sites (fractional):
Hg1 0.000 0.000 0.000 (multiplicity 1)
Ir1 0.500 0.500 0.276 (multiplicity 2)
W1 0.000 0.000 0.500 (multiplicity 1)



A plane-wave DFT calculation with PBE was carried out for an optimized crystal structure of ZnGeIrRu.

Calculated values
Total DFT energy (no corrections): -6.2247 eV per atom
Formation energy: -0.218 eV/atom
Size of the total moment: 0.0 μB/f.u.

abc: 6.066 6.066 6.066
angles: 90.00 90.00 90.00
Space group F-43m (No. 216)
Symmetry-distinct sites (fractional):
Zn1 0.000 0.000 0.000 (multiplicity 4)
Ge1 0.000 0.000 0.500 (multiplicity 4)
Ir1 0.250 0.250 0.750 (multiplicity 4)
Ru1 0.250 0.250 0.250 (multiplicity 4)



A plane-wave DFT calculation with PBE was carried out for an optimized crystal structure of Dy2ScHg3.

Calculated values
Total DFT energy (no corrections): -3.1936 eV per atom
Formation energy: -0.453 eV/atom
Excess energy over the best structure of this formula in the dataset: 0.003 eV/atom
Size of the total moment: 0.5 μB/f.u.

abc: 5.1640 5.1640 12.7198
angles: 90.00 90.00 120.00
Space group P-3m1 (No. 164)
Symmetry-distinct sites (fractional):
Dy1 0.0000 0.0000 0.0000 (multiplicity 1)
Dy2 0.0000 0.0000 0.5000 (multiplicity 1)
Dy3 0.3333 0.6667 0.1729 (multiplicity 2)
Sc1 0.3333 0.6667 0.6664 (multiplicity 2)
Hg1 0.0000 0.0000 0.2550 (multiplicity 2)
Hg2 0.3333 0.6667 0.4196 (multiplicity 2)
Hg3 0.3333 0.6667 0.9125 (multiplicity 2)



A plane-wave DFT calculation with PBE was carried out for an optimized crystal structure of RbSbI2O.

Calculated values
Raw formation energy: 464 meV/atom
Total DFT energy (no corrections): -2.1658 eV per atom
Excess energy over the best structure of this formula in the dataset: 1.367 eV/atom
Size of the total moment: 0.0 μB/f.u.

abc: 6.507 6.507 4.188
angles: 90.00 90.00 90.00
Space group P4/mmm (No. 123)
Symmetry-distinct sites (fractional):
Rb1 0.000 0.000 0.000 (multiplicity 1)
Sb1 0.500 0.500 0.500 (multiplicity 1)
I1 0.000 0.500 0.000 (multiplicity 2)
O1 0.000 0.000 0.500 (multiplicity 1)



A plane-wave DFT calculation with PBE was carried out for an optimized crystal structure of CuHg2Os.

Calculated values
Total DFT energy (no corrections): -3.3456 eV per atom
Formation energy: 0.637 eV/atom
Excess energy over the best structure of this formula in the dataset: 0.040 eV/atom
Size of the total moment: 0.1 μB/f.u.

abc: 10.590 2.865 4.935
angles: 90.00 109.86 90.00
Space group Cm (No. 8)
Symmetry-distinct sites (fractional):
Cu1 0.000 0.000 0.000 (multiplicity 2)
Hg1 0.048 0.500 0.533 (multiplicity 2)
Hg2 0.265 0.500 0.145 (multiplicity 2)
Os1 0.302 0.000 0.664 (multiplicity 2)



A plane-wave DFT calculation with PBE was carried out for an optimized crystal structure of PaZn3Pt3.

Calculated values
Total DFT energy (no corrections): -5.1210 eV per atom
Formation energy: -0.630 eV/atom
Excess energy over the best structure of this formula in the dataset: 0.000 eV/atom
Size of the total moment: 0.0 μB/f.u.

abc: 6.7062 6.7062 19.1752
angles: 90.00 90.00 120.00
Space group R-3 (No. 148, hexagonal axes)
Symmetry-distinct sites (fractional):
Pa1 0.0000 0.0000 0.1608 (multiplicity 6)
Zn1 0.0428 0.6133 0.3670 (multiplicity 18)
Pt1 0.0070 0.7528 0.5636 (multiplicity 18)



A plane-wave DFT calculation with PBE was carried out for an optimized crystal structure of TaTeRu4.

Calculated values
Raw formation energy: 399 meV/atom
Total DFT energy (no corrections): -8.2843 eV per atom
Size of the total moment: 0.0 μB/f.u.

abc: 7.333 7.333 7.333
angles: 90.00 90.00 90.00
Space group F-43m (No. 216)
Symmetry-distinct sites (fractional):
Ta1 0.000 0.000 0.000 (multiplicity 4)
Te1 0.250 0.250 0.750 (multiplicity 4)
Ru1 0.125 0.125 0.375 (multiplicity 16)



A plane-wave DFT calculation with PBE was carried out for an optimized crystal structure of Rb2RhI5.

Calculated values
Raw formation energy: -764 meV/atom
Total DFT energy (no corrections): -2.8935 eV per atom
Size of the total moment: 0.0 μB/f.u.

abc: 5.475 8.641 9.242
angles: 62.23 72.82 89.98
Space group P1 (No. 1)
Symmetry-distinct sites (fractional):
Rb1 0.000 0.000 0.000 (multiplicity 1)
Rb2 0.331 0.332 0.336 (multiplicity 1)
Rh1 0.665 0.664 0.668 (multiplicity 1)
I1 0.165 0.604 0.668 (multiplicity 1)
I2 0.538 0.317 0.923 (multiplicity 1)
I3 0.542 0.762 0.916 (multiplicity 1)
I4 0.789 0.009 0.421 (multiplicity 1)
I5 0.792 0.572 0.412 (multiplicity 1)



A plane-wave DFT calculation with PBE was carried out for an optimized crystal structure of Li2LaMgAu.

Calculated values
Total DFT energy (no corrections): -3.0546 eV per atom
Formation energy: -0.329 eV/atom
Size of the total moment: 0.0 μB/f.u.

abc: 4.135 4.270 13.307
angles: 90.00 90.00 90.00
Space group Imm2 (No. 44)
Symmetry-distinct sites (fractional):
Li1 0.000 0.000 0.000 (multiplicity 2)
Li2 0.000 0.500 0.345 (multiplicity 2)
La1 0.000 0.500 0.724 (multiplicity 2)
Mg1 0.000 0.000 0.493 (multiplicity 2)
Au1 0.000 0.500 0.141 (multiplicity 2)



A plane-wave DFT calculation with PBE was carried out for an optimized crystal structure of LaSc2Mn2.

Calculated values
Total DFT energy (no corrections): -6.7981 eV per atom
Formation energy: 0.388 eV/atom
Excess energy over the best structure of this formula in the dataset: 0.224 eV/atom
Size of the total moment: 3.5 μB/f.u.

abc: 4.822 4.822 10.008
angles: 90.00 90.00 90.00
Space group I4/mmm (No. 139)
Symmetry-distinct sites (fractional):
La1 0.000 0.000 0.000 (multiplicity 2)
Sc1 0.000 0.000 0.346 (multiplicity 4)
Mn1 0.000 0.500 0.250 (multiplicity 4)



A plane-wave DFT calculation with PBE was carried out for an optimized crystal structure of KSbIr2.

Calculated values
Raw formation energy: 760 meV/atom
Total DFT energy (no corrections): -4.9757 eV per atom
Size of the total moment: 0.0 μB/f.u.

abc: 3.112 5.527 9.922
angles: 90.00 90.00 90.00
Space group Immm (No. 71)
Symmetry-distinct sites (fractional):
K1 0.000 0.000 0.000 (multiplicity 2)
Sb1 0.000 0.000 0.500 (multiplicity 2)
Ir1 0.000 0.500 0.207 (multiplicity 4)



A plane-wave DFT calculation with PBE was carried out for an optimized crystal structure of HoPuRuAu.

Calculated values
Total DFT energy (no corrections): -8.2165 eV per atom
Formation energy: -0.351 eV/atom
Size of the total moment: 5.2 μB/f.u.

abc: 6.996 6.996 6.996
angles: 90.00 90.00 90.00
Space group F-43m (No. 216)
Symmetry-distinct sites (fractional):
Ho1 0.000 0.000 0.000 (multiplicity 4)
Pu1 0.000 0.000 0.500 (multiplicity 4)
Ru1 0.250 0.250 0.750 (multiplicity 4)
Au1 0.250 0.250 0.250 (multiplicity 4)



A plane-wave DFT calculation with PBE was carried out for an optimized crystal structure of PrErAs2Pd5.

Calculated values
Total DFT energy (no corrections): -5.7179 eV per atom
Formation energy: -0.762 eV/atom
Size of the total moment: 0.0 μB/f.u.

abc: 4.283 4.283 9.277
angles: 90.00 90.00 90.00
Space group P4/mmm (No. 123)
Symmetry-distinct sites (fractional):
Pr1 0.000 0.000 0.000 (multiplicity 1)
Er1 0.000 0.000 0.500 (multiplicity 1)
As1 0.500 0.500 0.365 (multiplicity 2)
Pd1 0.000 0.500 0.231 (multiplicity 4)
Pd2 0.500 0.500 0.000 (multiplicity 1)



A plane-wave DFT calculation with PBE was carried out for an optimized crystal structure of SbPb2Br2.

Calculated values
Raw formation energy: -385 meV/atom
Total DFT energy (no corrections): -3.3620 eV per atom
Excess energy over the best structure of this formula in the dataset: 0.000 eV/atom
Size of the total moment: 0.0 μB/f.u.

abc: 7.448 4.306 12.135
angles: 90.00 102.92 90.00
Space group C2/m (No. 12)
Symmetry-distinct sites (fractional):
Sb1 0.000 0.000 0.000 (multiplicity 2)
Pb1 0.231 0.500 0.177 (multiplicity 4)
Br1 0.046 0.500 0.670 (multiplicity 4)